Here is an optimized crystal structure of YCo2Au2 from Alexandria via LeMat-Bulk. Energies are from GGA-PBE.

Cell: 7.0977 7.0977 3.3917 Å, 90.00 90.00 90.00°
Last column: magnetic moment on the atom in μB.
Sites, in units of the cell vectors:
Y  0.0000  0.0000  0.0000  -0.18
Y  0.5000  0.5000  0.0000  -0.18
Co  0.3849  0.8849  0.0000  1.43
Co  0.8849  0.6151  0.0000  1.41
Co  0.6151  0.1151  0.0000  1.43
Co  0.1151  0.3849  0.0000  1.41
Au  0.1769  0.6769  0.5000  0.00
Au  0.6769  0.8231  0.5000  0.00
Au  0.8231  0.3231  0.5000  0.00
Au  0.3231  0.1769  0.5000  0.00

Offset from the most stable computed form = 62 meV per atom
Magnetic moment = 5.04 Bohr magnetons per cell
Electronic total energy = -5.5349 eV per atom
Formation enthalpy at 0 K = -0.089 eV per atom